Record 1
# CsBi2Se4 PBE-GGA relaxed
data_CsBi2Se4
_space_group_name_H-M_alt 'C m c m'
_space_group_IT_number 63
_space_group_name_Hall '-C 2c 2'
_cell_length_a 4.259
_cell_length_b 14.243
_cell_length_c 15.497
_cell_angle_alpha 90.00
_cell_angle_beta 90.00
_cell_angle_gamma 90.00
loop_
_atom_site_label
_atom_site_type_symbol
_atom_site_fract_x
_atom_site_fract_y
_atom_site_fract_z
Cs1 Cs 0.000 0.097 0.250
Bi1 Bi 0.000 0.362 0.061
Se1 Se 0.000 0.000 0.000
Se2 Se 0.000 0.268 0.604
Se3 Se 0.000 0.387 0.250
# E_tot, eV/atom: -3.6962
# Crystal system: orthorhombic
# Volume, A^3/atom: 33.57
# Raw formation energy, kJ/mol of formula units: -320.3

Record 2
# Cs5Bi2Se5 PBE-GGA relaxed
data_Cs5Bi2Se5
_space_group_name_H-M_alt 'C 1 2/m 1'
_space_group_IT_number 12
_space_group_name_Hall '-C 2y'
_cell_length_a 15.572
_cell_length_b 5.134
_cell_length_c 13.634
_cell_angle_alpha 90.00
_cell_angle_beta 106.15
_cell_angle_gamma 90.00
loop_
_atom_site_label
_atom_site_type_symbol
_atom_site_fract_x
_atom_site_fract_y
_atom_site_fract_z
Cs1 Cs 0.000 0.000 0.000
Cs2 Cs 0.159 0.000 0.562
Cs3 Cs 0.236 0.500 0.138
Bi1 Bi 0.036 0.500 0.294
Se1 Se 0.000 0.500 0.500
Se2 Se 0.106 0.500 0.877
Se3 Se 0.130 0.000 0.286
# E_tot, eV/atom: -3.3141
# Crystal system: monoclinic
# Volume, A^3/atom: 43.63
# Raw formation energy, kJ/mol of formula units: -995.4

Record 3
# CsBiSe3 PBE-GGA relaxed
data_CsBiSe3
_space_group_name_H-M_alt 'P m -3 m'
_space_group_IT_number 221
_space_group_name_Hall '-P 4 2 3'
_cell_length_a 5.633
_cell_length_b 5.633
_cell_length_c 5.633
_cell_angle_alpha 90.00
_cell_angle_beta 90.00
_cell_angle_gamma 90.00
loop_
_atom_site_label
_atom_site_type_symbol
_atom_site_fract_x
_atom_site_fract_y
_atom_site_fract_z
Cs1 Cs 0.000 0.000 0.000
Bi1 Bi 0.500 0.500 0.500
Se1 Se 0.000 0.500 0.500
# Energy above the lowest structure with this stoichiometry, meV/atom: 143
# E_tot, eV/atom: -3.3263
# Crystal system: cubic
# Volume, A^3/atom: 35.75
# Raw formation energy, kJ/mol of formula units: -139.2

Record 4
# CsBi6Se8 PBE-GGA relaxed
data_CsBi6Se8
_space_group_name_H-M_alt 'R -3'
_space_group_IT_number 148
_space_group_name_Hall '-R 3'
_cell_length_a 11.8207
_cell_length_b 11.8207
_cell_length_c 14.3967
_cell_angle_alpha 90.00
_cell_angle_beta 90.00
_cell_angle_gamma 120.00
loop_
_atom_site_label
_atom_site_type_symbol
_atom_site_fract_x
_atom_site_fract_y
_atom_site_fract_z
Cs1 Cs 0.0000 0.0000 0.0000
Bi1 Bi 0.0064 0.1832 0.3940
Se1 Se 0.0000 0.0000 0.2617
Se2 Se 0.0055 0.2924 0.5933
# E_tot, eV/atom: -3.8132
# Crystal system: trigonal
# Volume, A^3/atom: 38.71
# Raw formation energy, kJ/mol of formula units: -500.0